Density functional theory data (PBE with a Hubbard U) for Mn3NO after structural relaxation.

abc: 4.156 4.156 4.156
angles: 90.00 90.00 90.00
Atoms (fractional coordinates):
Mn 0.000 0.000 0.500
Mn 0.000 0.500 0.000
Mn 0.500 0.000 0.000
N 0.000 0.000 0.000
O 0.500 0.500 0.500

Space group: No. 221
ΔE to the lowest computed polymorph in eV/atom: 0.0000